Entry 1:
Computed, not measured: KScAlC2 after structural relaxation at the GGA-PBE level of DFT.

Cell and atoms, written as CIF:
```
data_KScAlC2
_chemical_formula_sum 'K1 Sc1 Al1 C2'
_cell_length_a 4.3972
_cell_length_b 4.3972
_cell_length_c 5.2554
_cell_angle_alpha 90.00
_cell_angle_beta 90.00
_cell_angle_gamma 90.00
_symmetry_space_group_name_H-M 'P 1'
_symmetry_Int_Tables_number 1
_symmetry_space_group_name_Hall 'P 1'
loop_
_atom_site_label
_atom_site_fract_x
_atom_site_fract_y
_atom_site_fract_z
Sc1 0.0000 0.0000 0.0000
C1 0.0000 0.5000 0.0000
C2 0.5000 0.0000 0.0000
K1 0.0000 0.0000 0.5000
Al1 0.5000 0.5000 0.5000
```

Properties
Energy of formation = 1822 meV/atom
Total magnetic moment = 0.000 μB per atom
DOS(E_F) = 1.88 states/eV/f.u.
Space-group type = P4/mmm

Entry 2:
Computed, not measured: KAl2SnC after structural relaxation at the GGA-PBE level of DFT.

Cell and atoms, written as CIF:
```
data_KAl2SnC
_chemical_formula_sum 'K1 Al2 Sn1 C1'
_cell_length_a 5.6244
_cell_length_b 4.4364
_cell_length_c 5.6244
_cell_angle_alpha 90.00
_cell_angle_beta 90.00
_cell_angle_gamma 90.00
_symmetry_space_group_name_H-M 'P 1'
_symmetry_Int_Tables_number 1
_symmetry_space_group_name_Hall 'P 1'
loop_
_atom_site_label
_atom_site_fract_x
_atom_site_fract_y
_atom_site_fract_z
C1 0.0000 0.5000 0.0000
K1 0.5000 0.5000 0.5000
Sn1 0.0000 0.0000 0.0000
Al1 0.0000 0.0000 0.5000
Al2 0.5000 0.0000 0.0000
```

Properties
Energy of formation = 1297 meV/atom
Total magnetic moment = 0.000 μB per atom
DOS(E_F) = 3.53 states/eV/f.u.
Space-group type = P4/mmm

Entry 3:
Computed, not measured: KAlTcC2 after structural relaxation at the GGA-PBE level of DFT.

Cell and atoms, written as CIF:
```
data_KAlTcC2
_chemical_formula_sum 'K1 Al1 Tc1 C2'
_cell_length_a 4.2765
_cell_length_b 4.7973
_cell_length_c 4.2765
_cell_angle_alpha 90.00
_cell_angle_beta 90.00
_cell_angle_gamma 90.00
_symmetry_space_group_name_H-M 'P 1'
_symmetry_Int_Tables_number 1
_symmetry_space_group_name_Hall 'P 1'
loop_
_atom_site_label
_atom_site_fract_x
_atom_site_fract_y
_atom_site_fract_z
C1 0.0000 0.0000 0.5000
C2 0.5000 0.0000 0.0000
K1 0.0000 0.0000 0.0000
Tc1 0.0000 0.5000 0.0000
Al1 0.5000 0.5000 0.5000
```

Properties
Energy of formation = 3817 meV/atom
Total magnetic moment = 0.000 μB per atom
DOS(E_F) = 5.43 states/eV/f.u.
Space-group type = P4/mmm

Entry 4:
Computed, not measured: KAl2TeC after structural relaxation at the GGA-PBE level of DFT.

Cell and atoms, written as CIF:
```
data_KAl2TeC
_chemical_formula_sum 'K1 Al2 Te1 C1'
_cell_length_a 4.4238
_cell_length_b 5.6232
_cell_length_c 4.4238
_cell_angle_alpha 90.00
_cell_angle_beta 90.00
_cell_angle_gamma 90.00
_symmetry_space_group_name_H-M 'P 1'
_symmetry_Int_Tables_number 1
_symmetry_space_group_name_Hall 'P 1'
loop_
_atom_site_label
_atom_site_fract_x
_atom_site_fract_y
_atom_site_fract_z
C1 0.0000 0.0000 0.0000
K1 0.5000 0.5000 0.5000
Te1 0.0000 0.5000 0.0000
Al1 0.0000 0.0000 0.5000
Al2 0.5000 0.0000 0.0000
```

Properties
Uncorrected formation energy = 0.5670 eV/atom
Total magnetic moment = 0.000 μB per atom
DOS(E_F) = 2.23 states/eV/f.u.
Space-group type = P4/mmm